No. 1
{"formula": "NaLa2PtO5", "functional": "GGA-PBE", "state": "optimized geometry", "formation_energy_uncorrected_ev_per_atom": -2.256, "rho_g_cm3": 6.709, "crystal_system": "tetragonal", "magnetic_moment_mub_per_fu": 1.019, "energy_ev_per_atom": -6.9233, "space_group": "P4/mbm", "lattice_angstrom": [[6.975, 0.000, 0.000], [0.000, 6.975, 0.000], [0.000, 0.000, 5.859]], "species": ["Na", "Na", "La", "La", "La", "La", "Pt", "Pt", "O", "O", "O", "O", "O", "O", "O", "O", "O", "O"], "fractional_positions": [[0.000, 0.000, 0.000], [0.500, 0.500, 0.000], [0.180, 0.320, 0.500], [0.320, 0.820, 0.500], [0.680, 0.180, 0.500], [0.820, 0.680, 0.500], [0.000, 0.500, 0.000], [0.500, 0.000, 0.000], [0.000, 0.000, 0.500], [0.135, 0.635, 0.249], [0.135, 0.635, 0.751], [0.365, 0.135, 0.249], [0.365, 0.135, 0.751], [0.500, 0.500, 0.500], [0.635, 0.865, 0.249], [0.635, 0.865, 0.751], [0.865, 0.365, 0.249], [0.865, 0.365, 0.751]]}

No. 2
{"formula": "CeMg6Bi", "functional": "GGA-PBE", "state": "optimized geometry", "rho_g_cm3": 3.982, "crystal_system": "orthorhombic", "magnetic_moment_mub_per_fu": 0.969, "energy_ev_per_atom": -2.4717, "relative_energy_mev_per_atom": 11, "delta_e_f_mev_per_atom": -49, "space_group": "Amm2", "lattice_angstrom": [[5.050, 0.000, 0.000], [0.000, 6.535, 0.000], [0.000, 0.000, 12.506]], "species": ["Ce", "Ce", "Mg", "Mg", "Mg", "Mg", "Mg", "Mg", "Mg", "Mg", "Mg", "Mg", "Mg", "Mg", "Bi", "Bi"], "fractional_positions": [[0.000, 0.000, 0.000], [0.000, 0.500, 0.500], [0.000, 0.000, 0.541], [0.000, 0.226, 0.257], [0.000, 0.274, 0.757], [0.000, 0.500, 0.041], [0.000, 0.726, 0.757], [0.000, 0.774, 0.257], [0.500, 0.000, 0.393], [0.500, 0.245, 0.118], [0.500, 0.255, 0.618], [0.500, 0.500, 0.893], [0.500, 0.745, 0.618], [0.500, 0.755, 0.118], [0.500, 0.000, 0.832], [0.500, 0.500, 0.332]]}

No. 3
{"formula": "PmAlCu", "functional": "GGA-PBE", "state": "optimized geometry", "rho_g_cm3": 6.337, "crystal_system": "monoclinic", "magnetic_moment_mub_per_fu": 0.000, "energy_ev_per_atom": -4.2813, "relative_energy_mev_per_atom": 282, "delta_e_f_mev_per_atom": -85, "space_group": "C2/m", "lattice_angstrom": [[8.466, 0.000, 0.000], [0.000, 5.819, 0.000], [-2.081, 0.000, 5.011]], "species": ["Pm", "Pm", "Pm", "Pm", "Al", "Al", "Al", "Al", "Cu", "Cu", "Cu", "Cu"], "fractional_positions": [[0.137, 0.000, 0.394], [0.363, 0.500, 0.606], [0.637, 0.500, 0.394], [0.863, 0.000, 0.606], [0.250, 0.250, 0.000], [0.250, 0.750, 0.000], [0.750, 0.250, 0.000], [0.750, 0.750, 0.000], [0.005, 0.500, 0.747], [0.495, 0.000, 0.253], [0.505, 0.000, 0.747], [0.995, 0.500, 0.253]]}

No. 4
{"formula": "Nd2Sm3UN6", "functional": "GGA-PBE", "state": "optimized geometry", "formation_energy_uncorrected_ev_per_atom": -1.483, "rho_g_cm3": 9.134, "crystal_system": "monoclinic", "magnetic_moment_mub_per_fu": 0.000, "energy_ev_per_atom": -8.5612, "space_group": "C2/m", "lattice_angstrom": [[3.099, -5.363, 0.000], [3.099, 5.363, 0.000], [-2.069, 0.000, 5.808]], "species": ["Nd", "Nd", "Sm", "Sm", "Sm", "U", "N", "N", "N", "N", "N", "N"], "fractional_positions": [[0.166, 0.834, 0.000], [0.834, 0.166, 0.000], [0.000, 0.000, 0.500], [0.334, 0.666, 0.500], [0.666, 0.334, 0.500], [0.500, 0.500, 0.000], [0.121, 0.421, 0.765], [0.277, 0.277, 0.236], [0.421, 0.121, 0.765], [0.579, 0.879, 0.235], [0.723, 0.723, 0.764], [0.879, 0.579, 0.235]]}

No. 5
{"formula": "K17ZnCd11", "functional": "GGA-PBE", "state": "optimized geometry", "rho_g_cm3": 2.664, "crystal_system": "monoclinic", "magnetic_moment_mub_per_fu": 0.000, "energy_ev_per_atom": -1.0411, "delta_e_f_mev_per_atom": -7, "space_group": "Cm", "lattice_angstrom": [[6.825, -8.875, 0.000], [6.825, 8.875, 0.000], [-4.718, 0.000, 10.120]], "species": ["K", "K", "K", "K", "K", "K", "K", "K", "K", "K", "K", "K", "K", "K", "K", "K", "K", "Zn", "Cd", "Cd", "Cd", "Cd", "Cd", "Cd", "Cd", "Cd", "Cd", "Cd", "Cd"], "fractional_positions": [[0.000, 0.000, 0.000], [0.000, 0.626, 0.376], [0.003, 0.003, 0.376], [0.004, 0.421, 0.027], [0.007, 0.652, 0.797], [0.277, 0.277, 0.045], [0.283, 0.678, 0.655], [0.289, 0.289, 0.662], [0.401, 0.646, 0.022], [0.421, 0.004, 0.027], [0.425, 0.652, 0.376], [0.626, 0.000, 0.376], [0.646, 0.401, 0.022], [0.648, 0.648, 0.767], [0.652, 0.007, 0.797], [0.652, 0.425, 0.376], [0.678, 0.283, 0.655], [0.723, 0.723, 0.261], [0.137, 0.956, 0.689], [0.142, 0.318, 0.332], [0.190, 0.828, 0.202], [0.318, 0.142, 0.332], [0.318, 0.959, 0.515], [0.713, 0.888, 0.090], [0.822, 0.822, 0.549], [0.828, 0.190, 0.202], [0.888, 0.713, 0.090], [0.956, 0.137, 0.689], [0.959, 0.318, 0.515]]}

No. 6
{"formula": "Np2TeSe", "functional": "GGA-PBE", "state": "optimized geometry", "formation_energy_uncorrected_ev_per_atom": -0.704, "rho_g_cm3": 11.539, "crystal_system": "tetragonal", "magnetic_moment_mub_per_fu": 9.828, "energy_ev_per_atom": -8.8308, "relative_energy_mev_per_atom": 99, "space_group": "P4/mmm", "lattice_angstrom": [[3.654, 0.000, 0.000], [0.000, 3.654, 0.000], [0.000, 0.000, 7.334]], "species": ["Np", "Np", "Te", "Se"], "fractional_positions": [[0.000, 0.000, 0.235], [0.000, 0.000, 0.765], [0.500, 0.500, 0.500], [0.500, 0.500, 0.000]]}

No. 7
{"formula": "Mg4AsP", "functional": "GGA-PBE", "state": "optimized geometry", "rho_g_cm3": 2.724, "crystal_system": "cubic", "magnetic_moment_mub_per_fu": 0.000, "energy_ev_per_atom": -2.5088, "delta_e_f_mev_per_atom": 231, "space_group": "F-43m", "lattice_angstrom": [[0.000, 3.956, 3.956], [3.956, 0.000, 3.956], [3.956, 3.956, 0.000]], "species": ["Mg", "Mg", "Mg", "Mg", "As", "P"], "fractional_positions": [[0.125, 0.125, 0.125], [0.125, 0.125, 0.625], [0.125, 0.625, 0.125], [0.625, 0.125, 0.125], [0.500, 0.500, 0.500], [0.750, 0.750, 0.750]]}

No. 8
{"formula": "Ti4PbC", "functional": "GGA-PBE", "state": "optimized geometry", "rho_g_cm3": 6.652, "crystal_system": "monoclinic", "magnetic_moment_mub_per_fu": 0.001, "energy_ev_per_atom": -7.5613, "relative_energy_mev_per_atom": 111, "delta_e_f_mev_per_atom": -143, "space_group": "P2_1/c", "lattice_angstrom": [[7.340, 0.000, 0.000], [0.000, 5.377, 0.000], [-1.157, 0.000, 5.195]], "species": ["Ti", "Ti", "Ti", "Ti", "Ti", "Ti", "Ti", "Ti", "Pb", "Pb", "C", "C"], "fractional_positions": [[0.086, 0.138, 0.376], [0.086, 0.362, 0.876], [0.265, 0.580, 0.452], [0.265, 0.920, 0.952], [0.735, 0.080, 0.048], [0.735, 0.420, 0.548], [0.914, 0.638, 0.124], [0.914, 0.862, 0.624], [0.500, 0.000, 0.500], [0.500, 0.500, 0.000], [0.000, 0.000, 0.000], [0.000, 0.500, 0.500]]}